No. 1
# Re2NiOsSe, relaxed, DFT GGA-PBE
# Raw total energy in eV/atom: -7.142
# DOS(E_F) in states/eV per atom: 1.24
data_Re2NiOsSe
_chemical_formula_sum 'Re2 Ni1 Os1 Se1'
_space_group_name_H-M_alt 'P 4/m m m'
_space_group_IT_number 123
_space_group_name_Hall '-P 4 2'
_cell_length_a 4.7590
_cell_length_b 4.7590
_cell_length_c 4.5043
_cell_angle_alpha 90.00
_cell_angle_beta 90.00
_cell_angle_gamma 90.00
loop_
_atom_site_label
_atom_site_type_symbol
_atom_site_fract_x
_atom_site_fract_y
_atom_site_fract_z
Re1 Re 0.0000 0.5000 0.0000
Ni1 Ni 0.0000 0.0000 0.5000
Os1 Os 0.0000 0.0000 0.0000
Se1 Se 0.5000 0.5000 0.5000



No. 2
# Re2NiSnOs, relaxed, DFT GGA-PBE
# DOS(E_F) in states/eV per atom: 1.61
# DFT formation energy in kJ/mol of formula units: 1491
data_Re2NiSnOs
_chemical_formula_sum 'Re2 Ni1 Sn1 Os1'
_space_group_name_H-M_alt 'P 4/m m m'
_space_group_IT_number 123
_space_group_name_Hall '-P 4 2'
_cell_length_a 4.8180
_cell_length_b 4.8180
_cell_length_c 4.7754
_cell_angle_alpha 90.00
_cell_angle_beta 90.00
_cell_angle_gamma 90.00
loop_
_atom_site_label
_atom_site_type_symbol
_atom_site_fract_x
_atom_site_fract_y
_atom_site_fract_z
Re1 Re 0.0000 0.5000 0.0000
Ni1 Ni 0.0000 0.0000 0.5000
Sn1 Sn 0.5000 0.5000 0.0000
Os1 Os 0.5000 0.5000 0.5000



No. 3
# SrReNiOs2, relaxed, DFT GGA-PBE
# DOS(E_F) in states/eV per atom: 1.79
# DFT formation energy in kJ/mol of formula units: 965
data_SrReNiOs2
_chemical_formula_sum 'Sr1 Re1 Ni1 Os2'
_space_group_name_H-M_alt 'P 4/m m m'
_space_group_IT_number 123
_space_group_name_Hall '-P 4 2'
_cell_length_a 4.5323
_cell_length_b 4.5323
_cell_length_c 4.8111
_cell_angle_alpha 90.00
_cell_angle_beta 90.00
_cell_angle_gamma 90.00
loop_
_atom_site_label
_atom_site_type_symbol
_atom_site_fract_x
_atom_site_fract_y
_atom_site_fract_z
Sr1 Sr 0.0000 0.0000 0.0000
Re1 Re 0.5000 0.5000 0.0000
Ni1 Ni 0.0000 0.0000 0.5000
Os1 Os 0.0000 0.5000 0.5000



No. 4
# NiOs2Rh2, relaxed, DFT GGA-PBE
# Offset from the most stable computed form in meV/atom: 195.0
# DOS(E_F) in states/eV per atom: 1.17
# DFT formation energy in kJ/mol of formula units: 339
data_NiOs2Rh2
_chemical_formula_sum 'Ni2 Os4 Rh4'
_space_group_name_H-M_alt 'I 4/m m m'
_space_group_IT_number 139
_space_group_name_Hall '-I 4 2'
_cell_length_a 3.6488
_cell_length_b 3.6488
_cell_length_c 11.8560
_cell_angle_alpha 90.00
_cell_angle_beta 90.00
_cell_angle_gamma 90.00
loop_
_atom_site_label
_atom_site_type_symbol
_atom_site_fract_x
_atom_site_fract_y
_atom_site_fract_z
Ni1 Ni 0.0000 0.0000 0.0000
Os1 Os 0.0000 0.0000 0.4027
Rh1 Rh 0.0000 0.5000 0.2500



No. 5
# NiOs2Rh, relaxed, DFT GGA-PBE
# DOS(E_F) in states/eV per atom: 1.39
# DFT formation energy in kJ/mol of formula units: 61
data_NiOs2Rh
_chemical_formula_sum 'Ni3 Os6 Rh3'
_space_group_name_H-M_alt 'R -3 m'
_space_group_IT_number 166
_space_group_name_Hall '-R 3 2"'
_cell_length_a 2.6912
_cell_length_b 2.6912
_cell_length_c 26.0623
_cell_angle_alpha 90.00
_cell_angle_beta 90.00
_cell_angle_gamma 120.00
loop_
_atom_site_label
_atom_site_type_symbol
_atom_site_fract_x
_atom_site_fract_y
_atom_site_fract_z
Ni1 Ni 0.0000 0.0000 0.0000
Os1 Os 0.0000 0.0000 0.2524
Rh1 Rh 0.0000 0.0000 0.5000



No. 6
# Ni3OsRh12, relaxed, DFT GGA-PBE
# DOS(E_F) in states/eV per atom: 1.27
# DFT formation energy in kJ/mol of formula units: 62
data_Ni3OsRh12
_chemical_formula_sum 'Ni3 Os1 Rh12'
_space_group_name_H-M_alt 'P 4/m m m'
_space_group_IT_number 123
_space_group_name_Hall '-P 4 2'
_cell_length_a 3.8074
_cell_length_b 3.8074
_cell_length_c 15.1833
_cell_angle_alpha 90.00
_cell_angle_beta 90.00
_cell_angle_gamma 90.00
loop_
_atom_site_label
_atom_site_type_symbol
_atom_site_fract_x
_atom_site_fract_y
_atom_site_fract_z
Ni1 Ni 0.0000 0.0000 0.0000
Ni2 Ni 0.0000 0.0000 0.2458
Os1 Os 0.0000 0.0000 0.5000
Rh1 Rh 0.0000 0.5000 0.1242
Rh2 Rh 0.0000 0.5000 0.3745
Rh3 Rh 0.5000 0.5000 0.0000
Rh4 Rh 0.5000 0.5000 0.2492
Rh5 Rh 0.5000 0.5000 0.5000



No. 7
# NiOs2Rh, relaxed, DFT GGA-PBE
# DOS(E_F) in states/eV per atom: 1.19
# DFT formation energy in kJ/mol of formula units: 46
data_NiOs2Rh
_chemical_formula_sum 'Ni2 Os4 Rh2'
_space_group_name_H-M_alt 'C 1 m 1'
_space_group_IT_number 8
_space_group_name_Hall 'C -2y'
_cell_length_a 8.8769
_cell_length_b 2.6833
_cell_length_c 4.6311
_cell_angle_alpha 90.00
_cell_angle_beta 99.83
_cell_angle_gamma 90.00
loop_
_atom_site_label
_atom_site_type_symbol
_atom_site_fract_x
_atom_site_fract_y
_atom_site_fract_z
Ni1 Ni 0.0000 0.0000 0.0000
Os1 Os 0.0019 0.5000 0.5116
Os2 Os 0.2515 0.0000 0.7429
Rh1 Rh 0.2537 0.5000 0.2384



No. 8
# Ni4OsRh2, relaxed, DFT GGA-PBE
# DOS(E_F) in states/eV per atom: 1.95
# DFT formation energy in kJ/mol of formula units: 262
data_Ni4OsRh2
_chemical_formula_sum 'Ni4 Os1 Rh2'
_space_group_name_H-M_alt 'P 4/m m m'
_space_group_IT_number 123
_space_group_name_Hall '-P 4 2'
_cell_length_a 3.7253
_cell_length_b 3.7253
_cell_length_c 6.8770
_cell_angle_alpha 90.00
_cell_angle_beta 90.00
_cell_angle_gamma 90.00
loop_
_atom_site_label
_atom_site_type_symbol
_atom_site_fract_x
_atom_site_fract_y
_atom_site_fract_z
Ni1 Ni 0.0000 0.5000 0.2414
Os1 Os 0.0000 0.0000 0.5000
Rh1 Rh 0.0000 0.0000 0.0000
Rh2 Rh 0.5000 0.5000 0.5000



No. 9
# NiOs2Rh, relaxed, DFT GGA-PBE
# DOS(E_F) in states/eV per atom: 1.15
# DFT formation energy in kJ/mol of formula units: 31
data_NiOs2Rh
_chemical_formula_sum 'Ni1 Os2 Rh1'
_space_group_name_H-M_alt 'P m m 2'
_space_group_IT_number 25
_space_group_name_Hall 'P 2 -2'
_cell_length_a 2.7063
_cell_length_b 3.7665
_cell_length_c 5.3240
_cell_angle_alpha 90.00
_cell_angle_beta 90.00
_cell_angle_gamma 90.00
loop_
_atom_site_label
_atom_site_type_symbol
_atom_site_fract_x
_atom_site_fract_y
_atom_site_fract_z
Ni1 Ni 0.0000 0.0000 0.0000
Os1 Os 0.0000 0.0000 0.4888
Os2 Os 0.5000 0.5000 0.2472
Rh1 Rh 0.5000 0.5000 0.7587



No. 10
# NiOs2Rh, relaxed, DFT GGA-PBE
# DOS(E_F) in states/eV per atom: 1.25
# DFT formation energy in kJ/mol of formula units: 69
data_NiOs2Rh
_chemical_formula_sum 'Ni1 Os2 Rh1'
_space_group_name_H-M_alt 'P m m m'
_space_group_IT_number 47
_space_group_name_Hall '-P 2 2'
_cell_length_a 2.6817
_cell_length_b 3.8115
_cell_length_c 5.3086
_cell_angle_alpha 90.00
_cell_angle_beta 90.00
_cell_angle_gamma 90.00
loop_
_atom_site_label
_atom_site_type_symbol
_atom_site_fract_x
_atom_site_fract_y
_atom_site_fract_z
Ni1 Ni 0.0000 0.0000 0.0000
Os1 Os 0.5000 0.5000 0.2355
Rh1 Rh 0.0000 0.0000 0.5000



No. 11
# NiOsRh4, relaxed, DFT GGA-PBE
# Offset from the most stable computed form in meV/atom: 182.1
# DOS(E_F) in states/eV per atom: 1.39
# DFT formation energy in kJ/mol of formula units: 148
data_NiOsRh4
_chemical_formula_sum 'Ni2 Os2 Rh8'
_space_group_name_H-M_alt 'C 1 2/m 1'
_space_group_IT_number 12
_space_group_name_Hall '-C 2y'
_cell_length_a 5.2016
_cell_length_b 7.2684
_cell_length_c 5.1775
_cell_angle_alpha 90.00
_cell_angle_beta 117.88
_cell_angle_gamma 90.00
loop_
_atom_site_label
_atom_site_type_symbol
_atom_site_fract_x
_atom_site_fract_y
_atom_site_fract_z
Ni1 Ni 0.0000 0.0000 0.0000
Os1 Os 0.0000 0.5000 0.5000
Rh1 Rh 0.2434 0.3068 0.2481



No. 12
# Ni5Os2Rh2, relaxed, DFT GGA-PBE
# DOS(E_F) in states/eV per atom: 1.56
# DFT formation energy in kJ/mol of formula units: 203
data_Ni5Os2Rh2
_chemical_formula_sum 'Ni20 Os8 Rh8'
_space_group_name_H-M_alt 'I m a 2'
_space_group_IT_number 46
_space_group_name_Hall 'I 2 -2a'
_cell_length_a 10.8816
_cell_length_b 9.5034
_cell_length_c 4.4497
_cell_angle_alpha 90.00
_cell_angle_beta 90.00
_cell_angle_gamma 90.00
loop_
_atom_site_label
_atom_site_type_symbol
_atom_site_fract_x
_atom_site_fract_y
_atom_site_fract_z
Ni1 Ni 0.0511 0.2010 0.0000
Ni2 Ni 0.1444 0.6977 0.8140
Ni3 Ni 0.2500 0.1868 0.7732
Os1 Os 0.1321 0.5451 0.3138
Rh1 Rh 0.0000 0.0000 0.3447
Rh2 Rh 0.2500 0.0501 0.2956